Record 1
A plane-wave DFT calculation with PBE-GGA was carried out for an optimized crystal structure of AcCePb2.

Summary:
The formation energy is -0.426 eV/atom.

a = 3.747 Å, b = 3.747 Å, c = 9.285 Å
α = 90.00°, β = 90.00°, γ = 90.00°
Positions (direct):
Ac1 0.000 0.000 0.000
Ce1 0.000 0.000 0.500
Pb1 0.500 0.500 0.262
Pb2 0.500 0.500 0.738

***

Record 2
A plane-wave DFT calculation with PBE-GGA was carried out for an optimized crystal structure of SrBe4Ir3O12.

Summary:
Its total energy is -6.722 eV per atom.

a = 6.355 Å, b = 6.355 Å, c = 6.355 Å
α = 105.00°, β = 105.00°, γ = 105.00°
Positions (direct):
Sr1 0.000 0.000 0.000
Be1 0.069 0.500 0.931
Be2 0.500 0.500 0.500
Be3 0.500 0.931 0.069
Be4 0.931 0.069 0.500
Ir1 0.000 0.564 0.436
Ir2 0.436 0.000 0.564
Ir3 0.564 0.436 0.000
O1 0.034 0.631 0.762
O2 0.088 0.912 0.500
O3 0.238 0.369 0.966
O4 0.344 0.656 0.500
O5 0.369 0.966 0.238
O6 0.500 0.088 0.912
O7 0.500 0.344 0.656
O8 0.631 0.762 0.034
O9 0.656 0.500 0.344
O10 0.762 0.034 0.631
O11 0.912 0.500 0.088
O12 0.966 0.238 0.369

***

Record 3
A plane-wave DFT calculation with PBE-GGA was carried out for an optimized crystal structure of NdSm2Ga4.

Summary:
The formation energy is -0.644 eV/atom.

a = 9.793 Å, b = 9.793 Å, c = 9.793 Å
α = 155.19°, β = 154.17°, γ = 36.11°
Positions (direct):
Nd1 0.000 0.000 0.000
Sm1 0.184 0.684 0.500
Sm2 0.816 0.316 0.500
Ga1 0.356 0.856 0.500
Ga2 0.434 0.434 0.000
Ga3 0.566 0.566 0.000
Ga4 0.644 0.144 0.500

***

Record 4
A plane-wave DFT calculation with PBE-GGA was carried out for an optimized crystal structure of CsRuBr2.

Summary:
Its total energy is -3.261 eV per atom.

a = 5.567 Å, b = 5.567 Å, c = 5.567 Å
α = 60.00°, β = 60.00°, γ = 60.00°
Positions (direct):
Cs1 0.000 0.000 0.000
Ru1 0.500 0.500 0.500
Br1 0.250 0.250 0.250
Br2 0.750 0.750 0.750

***

Record 5
A plane-wave DFT calculation with PBE-GGA was carried out for an optimized crystal structure of SrNi3Sb.

Summary:
The relative energy among the computed polymorphs is 0 meV per atom.

a = 4.767 Å, b = 4.767 Å, c = 4.767 Å
α = 90.00°, β = 90.00°, γ = 90.00°
Positions (direct):
Sr1 0.000 0.000 0.000
Ni1 0.000 0.500 0.500
Ni2 0.500 0.000 0.500
Ni3 0.500 0.500 0.000
Sb1 0.500 0.500 0.500

***

Record 6
A plane-wave DFT calculation with PBE-GGA was carried out for an optimized crystal structure of LiYBe2.

Summary:
The formation energy is 0.145 eV/atom. The relative energy among the computed polymorphs is 0 meV per atom.

a = 5.173 Å, b = 5.173 Å, c = 5.173 Å
α = 45.64°, β = 45.64°, γ = 45.64°
Positions (direct):
Li1 0.000 0.000 0.000
Y1 0.201 0.201 0.201
Be1 0.412 0.412 0.412
Be2 0.733 0.733 0.733

***

Record 7
A plane-wave DFT calculation with PBE-GGA was carried out for an optimized crystal structure of YZr2As.

Summary:
The formation energy is -0.525 eV/atom.

a = 4.153 Å, b = 5.964 Å, c = 5.964 Å
α = 39.20°, β = 90.00°, γ = 90.00°
Positions (direct):
Y1 0.000 0.000 0.000
Zr1 0.000 0.273 0.273
Zr2 0.500 0.707 0.707
As1 0.500 0.435 0.435

***

Record 8
A plane-wave DFT calculation with PBE-GGA was carried out for an optimized crystal structure of ZnCdIn2.

Summary:
The formation energy is 0.075 eV/atom. The relative energy among the computed polymorphs is 19 meV per atom.

a = 4.917 Å, b = 4.917 Å, c = 6.073 Å
α = 102.88°, β = 102.88°, γ = 41.11°
Positions (direct):
Zn1 0.000 0.000 0.000
Cd1 0.500 0.500 0.500
In1 0.258 0.258 0.769
In2 0.742 0.742 0.231

***

Record 9
A plane-wave DFT calculation with PBE-GGA was carried out for an optimized crystal structure of LiMnCr2.

Summary:
The formation energy is 0.375 eV/atom. The relative energy among the computed polymorphs is 130 meV per atom.

a = 8.982 Å, b = 8.982 Å, c = 8.982 Å
α = 16.06°, β = 16.06°, γ = 16.06°
Positions (direct):
Li1 0.000 0.000 0.000
Mn1 0.500 0.500 0.500
Cr1 0.243 0.243 0.243
Cr2 0.757 0.757 0.757

***

Record 10
A plane-wave DFT calculation with PBE-GGA was carried out for an optimized crystal structure of PrAs.

Summary:
The formation energy is -1.076 eV/atom.

a = 3.901 Å, b = 3.901 Å, c = 3.305 Å
α = 90.00°, β = 90.00°, γ = 90.00°
Positions (direct):
Pr1 0.000 0.000 0.000
As1 0.500 0.500 0.500

***

Record 11
A plane-wave DFT calculation with PBE-GGA was carried out for an optimized crystal structure of Tl2AgIr.

Summary:
The formation energy is 0.466 eV/atom. The relative energy among the computed polymorphs is 148 meV per atom.

a = 5.038 Å, b = 5.038 Å, c = 3.172 Å
α = 90.00°, β = 90.00°, γ = 90.52°
Positions (direct):
Tl1 0.000 0.500 0.000
Tl2 0.500 0.000 0.000
Ag1 0.000 0.000 0.500
Ir1 0.500 0.500 0.500

***

Record 12
A plane-wave DFT calculation with PBE-GGA was carried out for an optimized crystal structure of LiNdNiAg.

Summary:
The formation energy is -0.097 eV/atom.

a = 4.728 Å, b = 4.728 Å, c = 4.728 Å
α = 60.00°, β = 60.00°, γ = 60.00°
Positions (direct):
Li1 0.000 0.000 0.000
Nd1 0.250 0.250 0.250
Ni1 0.500 0.500 0.500
Ag1 0.750 0.750 0.750